Entry 1:
Material: Ce4Ru2Pt
Method: DFT, PBE
State: optimized geometry Values from VASP.

## Properties
DOS(E_F) = 27.4 states/eV/cell
Uncorrected energy = -7.448 eV/atom
Spin magnetization = 0.6 μB per formula unit
SG = Cc (9)

The structure in Quantum ESPRESSO input format:
```
&SYSTEM
  ibrav = 0, nat = 14, ntyp = 3
/
ATOMIC_SPECIES
Ce 140.12 Ce.upf
Ru 101.07 Ru.upf
Pt 195.08 Pt.upf
CELL_PARAMETERS angstrom
4.2396 -6.1994 0.0000
4.2396 6.1994 0.0000
-4.2249 0.0000 6.2012
ATOMIC_POSITIONS angstrom
Ce 2.1271 6.1642 3.1006
Ce 2.1176 3.1360 1.4971
Ce 1.2724 0.7489 3.8885
Ce 5.5009 2.3525 0.7152
Ce 3.3848 -0.7489 0.7879
Ce 0.0051 -3.1360 4.5977
Ce 3.3884 -2.3525 3.8158
Ce 4.2396 -6.1642 0.0000
Ru 1.7027 3.9541 4.7085
Ru 3.8165 0.8548 2.9956
Ru 1.7040 -0.8548 6.0962
Ru 3.8151 -3.9541 1.6078
Pt -1.4778 1.5464 5.3983
Pt 0.6346 -1.5464 2.2977
```


Entry 2:
Material: LiHo2Sn3Se6
Method: DFT, PBE
State: optimized geometry Values from VASP.

## Properties
DOS(E_F) = 4.1 states/eV/cell
Spin magnetization = 0.0 μB per formula unit
Formation energy without anion corrections = -0.99 eV/atom
SG = C2/m (12)

The structure in Quantum ESPRESSO input format:
```
&SYSTEM
  ibrav = 0, nat = 12, ntyp = 4
/
ATOMIC_SPECIES
Li 6.94 Li.upf
Ho 164.93 Ho.upf
Sn 118.71 Sn.upf
Se 78.96 Se.upf
CELL_PARAMETERS angstrom
9.2481 -2.1033 0.0000
9.2481 2.1033 0.0000
-2.3238 0.0000 8.1366
ATOMIC_POSITIONS angstrom
Li 0.0000 0.0000 0.0000
Ho 4.6508 0.0000 5.4479
Ho 11.5216 0.0000 2.6886
Sn -1.1619 0.0000 4.0683
Sn 5.9674 0.0000 1.2333
Sn 10.2050 0.0000 6.9032
Se 2.8377 0.0000 0.7710
Se 1.8599 0.0000 4.6241
Se 7.3690 0.0000 6.1762
Se 8.8034 0.0000 1.9604
Se 14.3125 0.0000 3.5124
Se 13.3347 0.0000 7.3656
```


Entry 3:
Material: FeMoW2
Method: DFT, PBE
State: optimized geometry Values from VASP.

## Properties
DOS(E_F) = 2.8 states/eV/cell
Spin magnetization = 2.4 μB per formula unit
E above lowest polymorph = 5.2 kJ per mole of atoms
SG = Pm (6)

The structure in Quantum ESPRESSO input format:
```
&SYSTEM
  ibrav = 0, nat = 4, ntyp = 3
/
ATOMIC_SPECIES
Fe 55.84 Fe.upf
Mo 95.94 Mo.upf
W 183.84 W.upf
CELL_PARAMETERS angstrom
2.6827 0.0000 0.0000
0.0000 4.4184 0.0000
-0.8646 0.0000 5.1127
ATOMIC_POSITIONS angstrom
Fe 0.0000 0.0000 0.0000
Mo 1.7805 2.2092 1.2676
W 0.0040 2.2092 3.8677
W 0.9066 0.0000 2.5611
```


DOS(E_F) of number 2 (LiHo2Sn3Se6)? 4.1 states/eV/cell


Which of these has the lowest DOS(E_F)? FeMoW2